Here is a geometry-optimized Sm2CoSn3 structure from Alexandria via LeMat-Bulk. Energies are from GGA-PBE.

The formation energy is -3.09 eV per formula unit. The value obtained for the volume is 291.43 Å³ per cell.

The structure belongs to space group Cm (No. 8); the cell edges are 11.099, 4.613 and 7.407 Å and the angles 90.00°, 129.78° and 90.00°. The distinct sites, in fractional coordinates, are Sm at (0.000, 0.000, 0.000), Sm at (0.129, 0.000, 0.599), Co at (0.371, 0.000, 0.547), Sn at (0.156, 0.500, 0.909), Sn at (0.255, 0.500, 0.422) and Sn at (0.386, 0.000, 0.207).

Here is a geometry-optimized Tl3Hg12I5 structure from Alexandria via LeMat-Bulk. Energies are from GGA-PBE.

Its formation energy from raw total energies is -0.050 eV per atom. The value obtained for the volume is 6718.56 Å³ per cell.

The structure belongs to space group Ia-3d (No. 230); the cell edges are 18.869, 18.869 and 18.869 Å and the angles 90.00°, 90.00° and 90.00°. The distinct sites, in fractional coordinates, are Tl at (0.000, 0.250, 0.125), Hg at (0.010, 0.084, 0.654), I at (0.000, 0.000, 0.000) and I at (0.000, 0.250, 0.375).